Mn2MoSe (GGA-PBEsol, optimized geometry); space group = Pmmm (47); energy relative to the elements, uncorrected = 0.216 eV per atom; N(E_F) = 0.703 states/eV per atom
1.0
2.9658 0.0000 0.0000
0.0000 4.2005 0.0000
0.0000 0.0000 4.2057
Mn Mo Se
2 1 1
Cartesian
0.0000 0.0000 0.0000
1.4829 2.1003 0.0000
0.0000 2.1003 2.1029
1.4829 0.0000 2.1029

TaMnPt2 (GGA-PBEsol, optimized geometry); space group = I4/mmm (139); formation enthalpy at 0 K = -0.56 eV per atom; N(E_F) = 0.585 states/eV per atom
1.0
-1.9266 1.9266 3.9462
1.9266 -1.9266 3.9462
1.9266 1.9266 -3.9462
Ta Mn Pt
1 1 2
Cartesian
0.0000 0.0000 0.0000
0.0000 0.0000 3.9462
1.9266 0.0000 1.9731
0.0000 1.9266 1.9731

SrCoNF2 (GGA-PBEsol, optimized geometry); space group = P4/mmm (123); energy relative to the elements, uncorrected = -0.274 eV per atom; N(E_F) = 1.021 states/eV per atom
1.0
4.4288 0.0000 0.0000
0.0000 4.4288 0.0000
0.0000 0.0000 5.1142
Sr Co N F
1 1 1 2
Cartesian
0.0000 0.0000 0.0000
2.2144 2.2144 2.5571
0.0000 0.0000 2.5571
0.0000 2.2144 0.0000
2.2144 0.0000 0.0000

HoB4W (GGA-PBEsol, optimized geometry); space group = Pbam (55); formation enthalpy at 0 K = -0.67 eV per atom; N(E_F) = 0.007 states/eV per atom
1.0
5.9882 0.0000 0.0000
0.0000 11.5755 0.0000
0.0000 0.0000 3.5790
Ho B W
4 16 4
Cartesian
0.7608 1.7312 0.0000
2.2333 7.5189 0.0000
3.7549 4.0566 0.0000
5.2274 9.8444 0.0000
0.1366 8.0307 1.7895
0.6841 6.3387 1.7895
0.7973 11.2014 1.7895
1.2713 9.4152 1.7895
1.7228 3.6274 1.7895
2.1969 5.4136 1.7895
2.3100 0.5509 1.7895
2.8576 2.2429 1.7895
3.1307 9.3326 1.7895
3.6782 11.0246 1.7895
3.7914 6.1619 1.7895
4.2654 7.9481 1.7895
4.7170 2.1604 1.7895
5.1910 0.3741 1.7895
5.3041 5.2368 1.7895
5.8517 3.5449 1.7895
0.7850 4.8090 0.0000
2.2091 10.5968 0.0000
3.7791 0.9787 0.0000
5.2033 6.7665 0.0000

Te2MoBr (GGA-PBEsol, optimized geometry); space group = Cm (8); energy relative to the elements, uncorrected = -0.017 eV per atom; N(E_F) = 0.943 states/eV per atom; polymorph energy (0 for the lowest one) = 0.0 kJ per mole of atoms
1.0
5.0056 -1.6974 0.0000
5.0056 1.6974 0.0000
-3.1592 0.0000 6.3411
Te Mo Br
2 1 1
Cartesian
0.0000 0.0000 0.0000
-0.3524 0.0000 4.6958
2.5672 0.0000 4.3370
7.0628 0.0000 2.4098

V2ZnO4 (GGA-PBEsol, optimized geometry); space group = Fd-3m (227); energy relative to the elements, uncorrected = -2.046 eV per atom; N(E_F) = 0.511 states/eV per atom; polymorph energy (0 for the lowest one) = 0.0 kJ per mole of atoms
1.0
0.0000 4.1670 4.1670
4.1670 0.0000 4.1670
4.1670 4.1670 0.0000
V Zn O
4 2 8
Cartesian
0.0000 0.0000 0.0000
2.0835 2.0835 0.0000
2.0835 0.0000 2.0835
0.0000 2.0835 2.0835
3.1252 3.1252 3.1252
5.2087 5.2087 5.2087
6.3315 4.0859 4.0859
2.0024 2.0024 2.0024
4.2481 4.2481 2.0024
4.2481 2.0024 4.2481
4.0859 6.3315 4.0859
4.0859 4.0859 6.3315
6.3315 6.3315 6.3315
2.0024 4.2481 4.2481

MgZnCd2 (GGA-PBEsol, optimized geometry); space group = Pmm2 (25); formation enthalpy at 0 K = -0.01 eV per atom; N(E_F) = 0.353 states/eV per atom; polymorph energy (0 for the lowest one) = 1.5 kJ per mole of atoms
1.0
3.0850 0.0000 0.0000
0.0000 4.1464 0.0000
0.0000 0.0000 6.0070
Mg Zn Cd
1 1 2
Cartesian
0.0000 0.0000 0.0000
1.5425 2.0732 1.4210
0.0000 0.0000 2.8705
1.5425 2.0732 4.4714

LaMg2Si2 (GGA-PBEsol, optimized geometry); space group = P4/mmm (123); energy relative to the elements, uncorrected = -0.509 eV per atom; N(E_F) = 0.304 states/eV per atom; polymorph energy (0 for the lowest one) = 0.0 kJ per mole of atoms
1.0
4.2713 0.0000 0.0000
0.0000 4.2713 0.0000
0.0000 0.0000 5.7906
La Mg Si
1 2 2
Cartesian
0.0000 0.0000 0.0000
0.0000 2.1357 2.8953
2.1357 0.0000 2.8953
2.1357 2.1357 1.1520
2.1357 2.1357 4.6386

Li3CuN (GGA-PBEsol, optimized geometry); space group = Pm-3m (221); energy relative to the elements, uncorrected = 0.011 eV per atom; N(E_F) = 0.378 states/eV per atom
1.0
3.8623 0.0000 0.0000
0.0000 3.8623 0.0000
0.0000 0.0000 3.8623
Li Cu N
3 1 1
Cartesian
0.0000 0.0000 1.9311
0.0000 1.9311 0.0000
1.9311 0.0000 0.0000
1.9311 1.9311 1.9311
0.0000 0.0000 0.0000

GaCuW2O8 (GGA-PBEsol, optimized geometry); space group = C2/c (15); energy relative to the elements, uncorrected = -1.837 eV per atom
1.0
4.5907 -5.6649 0.0000
4.5907 5.6649 0.0000
-0.0669 0.0000 4.9194
Ga Cu W O
2 2 4 16
Cartesian
4.5406 3.7703 3.6895
4.5740 -3.7703 1.2298
4.5740 1.8739 1.2298
4.5406 -1.8739 3.6895
2.2650 0.9973 3.7076
2.2984 -0.9973 1.2479
6.8162 0.9973 3.6714
6.8496 -0.9973 1.2117
3.4811 3.5975 2.0512
1.2415 0.6702 0.3820
3.4327 2.2044 4.4010
1.2080 -0.6702 2.8416
5.6670 3.5975 0.4085
3.2619 0.5722 2.1477
3.2285 -0.5722 4.6074
5.6484 2.2044 2.9780
3.4662 -2.2044 1.9413
5.8861 0.5722 0.3120
5.8527 -0.5722 2.7717
3.4476 -3.5975 4.5108
7.9066 0.6702 2.0777
5.6819 -2.2044 0.5183
7.8731 -0.6702 4.5374
5.6335 -3.5975 2.8682

DyH2 (GGA-PBEsol, optimized geometry); space group = Fm-3m (225); VASP energy = -13.8 eV per cell; N(E_F) = 0.243 states/eV per atom
1.0
0.0000 2.5588 2.5588
2.5588 0.0000 2.5588
2.5588 2.5588 0.0000
Dy H
1 2
Cartesian
0.0000 0.0000 0.0000
1.2794 1.2794 1.2794
3.8382 3.8382 3.8382

Tl2SiAu (GGA-PBEsol, optimized geometry); space group = Amm2 (38); energy relative to the elements, uncorrected = 0.107 eV per atom; N(E_F) = 0.436 states/eV per atom; polymorph energy (0 for the lowest one) = 6.9 kJ per mole of atoms
1.0
4.3998 0.0000 0.0000
0.0000 2.6467 4.1631
0.0000 -2.6467 4.1631
Tl Si Au
2 1 1
Cartesian
0.0000 0.0000 0.0000
2.1999 0.0000 3.0261
0.0000 0.0000 5.1732
2.1999 0.0000 6.1804